Entry 1:
Here is an optimized crystal structure of Pm2Y3PuTe6 from the Alexandria database. Energies are from PBE-GGA.

The calculated total energy comes out at -155.9 eV per cell. The spin magnetization comes out at 6.12 μB/f.u.

It has space group C2/m (No. 12), with a = 19.247 Å, b = 4.386 Å, c = 8.865 Å, α = 90.00°, β = 103.66° and γ = 90.00°. The asymmetric unit holds Pm at (0.166, 0.000, 0.333), Y at (0.000, 0.500, 0.500), Y at (0.168, 0.000, 0.836), Pu at (0.000, 0.500, 0.000), Te at (0.002, 0.000, 0.748), Te at (0.165, 0.500, 0.589) and Te at (0.167, 0.500, 0.079).

***

Entry 2:
Here is an optimized crystal structure of PmY3Pu2Te6 from the Alexandria database. Energies are from PBE-GGA.

The calculated total energy comes out at -174.0 eV per cell. The spin magnetization comes out at 12.05 μB/f.u.

It has space group C2/m (No. 12), with a = 19.226 Å, b = 4.384 Å, c = 8.840 Å, α = 90.00°, β = 103.64° and γ = 90.00°. The asymmetric unit holds Pm at (0.000, 0.000, 0.000), Y at (0.000, 0.000, 0.500), Y at (0.165, 0.500, 0.834), Pu at (0.166, 0.500, 0.333), Te at (0.001, 0.500, 0.745), Te at (0.166, 0.000, 0.586) and Te at (0.169, 0.000, 0.082).